## ZnCoF5 (PBE+U)

Data for crystalline ZnCoF5 at its relaxed geometry.

Cell lengths 5.3274, 9.8767, 7.4643 Å; angles 90.00, 112.35, 90.00 degrees
Last column: nearest neighbours and their distance in Å.
Space group P2_1/c (No. 14)
Inequivalent atoms, fractional coordinates:
Zn (0.0237, 0.0059, 0.2218) [4 per cell]  5 F 1.93-2.12
Co (0.4667, 0.2442, 0.0823) [4 per cell]  5 F 1.85-1.96
F (0.1507, 0.1094, 0.0364) [4 per cell]  2 Zn 2.03-2.12, 1 Co 2.07
F (0.2069, 0.6516, 0.8665) [4 per cell]  1 Co 1.93, 1 Zn 1.93
F (0.2243, 0.1196, 0.4610) [4 per cell]  1 Co 1.85, 1 Zn 2.03
F (0.3181, 0.5942, 0.3021) [4 per cell]  1 Co 1.87, 1 Zn 1.97
F (0.4545, 0.1897, 0.8268) [4 per cell]  2 Co 1.96

Results
DOS(E_F), states/eV/f.u.: 0.0
Magnetic moment, μB/f.u.: 4.00
VASP energy, Ry per atom: -0.317